Entry from the Alexandria database: an optimized crystal structure of TlSb2Se (PBE).

Results
Formation energy without anion corrections   0.128 eV/atom
E above lowest polymorph   0.235 eV per atom
Energy   -3.40 eV/atom

a = 5.319 Å, b = 5.319 Å, c = 7.558 Å
α = 90.00°, β = 90.00°, γ = 90.00°
Atoms (fractional coordinates):
Tl 0.000 0.000 0.000
Tl 0.500 0.500 0.500
Sb 0.000 0.000 0.500
Sb 0.000 0.500 0.750
Sb 0.500 0.000 0.250
Sb 0.500 0.500 0.000
Se 0.000 0.500 0.250
Se 0.500 0.000 0.750



Entry from the Alexandria database: an optimized crystal structure of Sm2Ga3Ni4Ge (PBE).

Results
Energy   -5.22 eV/atom

a = 4.143 Å, b = 4.143 Å, c = 9.784 Å
α = 90.00°, β = 90.00°, γ = 90.00°
Atoms (fractional coordinates):
Sm 0.000 0.500 0.250
Sm 0.500 0.000 0.750
Ga 0.000 0.000 0.000
Ga 0.000 0.500 0.627
Ga 0.500 0.000 0.373
Ni 0.000 0.000 0.500
Ni 0.000 0.500 0.872
Ni 0.500 0.000 0.128
Ni 0.500 0.500 0.500
Ge 0.500 0.500 0.000



Entry from the Alexandria database: an optimized crystal structure of Ba2NiIrN (PBE).

Results
Formation energy without anion corrections   -0.185 eV/atom
Energy   -5.55 eV/atom

a = 5.773 Å, b = 5.773 Å, c = 3.772 Å
α = 90.00°, β = 90.00°, γ = 90.00°
Atoms (fractional coordinates):
Ba 0.000 0.500 0.000
Ba 0.500 0.000 0.000
Ni 0.000 0.000 0.500
Ir 0.500 0.500 0.500
N 0.500 0.500 0.000